No. 1
## K4BaW3O12 (PBE+U)

Data for K4BaW3O12 after structural relaxation.

a = 7.347 Å, b = 7.347 Å, c = 7.347 Å
α = 109.47°, β = 109.47°, γ = 109.47°
Atoms (fractional coordinates):
K 0.000 0.000 0.500
K 0.000 0.500 0.000
K 0.500 0.000 0.000
K 0.500 0.500 0.500
Ba 0.000 0.000 0.000
W 0.000 0.500 0.500
W 0.500 0.000 0.500
W 0.500 0.500 0.000
O 0.000 0.285 0.285
O 0.000 0.715 0.715
O 0.250 0.500 0.750
O 0.250 0.750 0.500
O 0.285 0.000 0.285
O 0.285 0.285 0.000
O 0.500 0.250 0.750
O 0.500 0.750 0.250
O 0.715 0.000 0.715
O 0.715 0.715 0.000
O 0.750 0.250 0.500
O 0.750 0.500 0.250

Summary:
SG   Im-3m, No. 229
DFT total energy   -126.5 eV for the cell shown

***

No. 2
## Li2Ti3MnO8 (PBE+U)

Data for Li2Ti3MnO8 after structural relaxation.

a = 8.530 Å, b = 8.530 Å, c = 8.530 Å
α = 90.00°, β = 90.00°, γ = 90.00°
Atoms (fractional coordinates):
Li 0.126 0.126 0.126
Li 0.248 0.252 0.748
Li 0.252 0.748 0.248
Li 0.374 0.874 0.626
Li 0.626 0.374 0.874
Li 0.748 0.248 0.252
Li 0.752 0.752 0.752
Li 0.874 0.626 0.374
Ti 0.119 0.378 0.373
Ti 0.122 0.627 0.619
Ti 0.127 0.881 0.878
Ti 0.373 0.119 0.378
Ti 0.378 0.373 0.119
Ti 0.381 0.622 0.873
Ti 0.619 0.122 0.627
Ti 0.622 0.873 0.381
Ti 0.627 0.619 0.122
Ti 0.873 0.381 0.622
Ti 0.878 0.127 0.881
Ti 0.881 0.878 0.127
Mn 0.000 0.000 0.500
Mn 0.000 0.500 0.000
Mn 0.500 0.000 0.000
Mn 0.500 0.500 0.500
O 0.101 0.871 0.107
O 0.107 0.101 0.871
O 0.112 0.388 0.612
O 0.123 0.851 0.643
O 0.129 0.607 0.399
O 0.138 0.638 0.862
O 0.143 0.377 0.149
O 0.149 0.143 0.377
O 0.351 0.857 0.877
O 0.357 0.623 0.649
O 0.362 0.362 0.362
O 0.371 0.393 0.899
O 0.377 0.149 0.143
O 0.388 0.612 0.112
O 0.393 0.899 0.371
O 0.399 0.129 0.607
O 0.601 0.629 0.893
O 0.607 0.399 0.129
O 0.612 0.112 0.388
O 0.623 0.649 0.357
O 0.629 0.893 0.601
O 0.638 0.862 0.138
O 0.643 0.123 0.851
O 0.649 0.357 0.623
O 0.851 0.643 0.123
O 0.857 0.877 0.351
O 0.862 0.138 0.638
O 0.871 0.107 0.101
O 0.877 0.351 0.857
O 0.888 0.888 0.888
O 0.893 0.601 0.629
O 0.899 0.371 0.393

Summary:
SG   P2_13, No. 198
Energy relative to the lowest polymorph listed for this composition   0 meV per atom

***

> Which formula does entry 2 have?

Li2Ti3MnO8

***

> What is the formula in the first record?

K4BaW3O12

***

Repeat the second record exactly.
## Li2Ti3MnO8 (PBE+U)

Data for Li2Ti3MnO8 after structural relaxation.

a = 8.530 Å, b = 8.530 Å, c = 8.530 Å
α = 90.00°, β = 90.00°, γ = 90.00°
Atoms (fractional coordinates):
Li 0.126 0.126 0.126
Li 0.248 0.252 0.748
Li 0.252 0.748 0.248
Li 0.374 0.874 0.626
Li 0.626 0.374 0.874
Li 0.748 0.248 0.252
Li 0.752 0.752 0.752
Li 0.874 0.626 0.374
Ti 0.119 0.378 0.373
Ti 0.122 0.627 0.619
Ti 0.127 0.881 0.878
Ti 0.373 0.119 0.378
Ti 0.378 0.373 0.119
Ti 0.381 0.622 0.873
Ti 0.619 0.122 0.627
Ti 0.622 0.873 0.381
Ti 0.627 0.619 0.122
Ti 0.873 0.381 0.622
Ti 0.878 0.127 0.881
Ti 0.881 0.878 0.127
Mn 0.000 0.000 0.500
Mn 0.000 0.500 0.000
Mn 0.500 0.000 0.000
Mn 0.500 0.500 0.500
O 0.101 0.871 0.107
O 0.107 0.101 0.871
O 0.112 0.388 0.612
O 0.123 0.851 0.643
O 0.129 0.607 0.399
O 0.138 0.638 0.862
O 0.143 0.377 0.149
O 0.149 0.143 0.377
O 0.351 0.857 0.877
O 0.357 0.623 0.649
O 0.362 0.362 0.362
O 0.371 0.393 0.899
O 0.377 0.149 0.143
O 0.388 0.612 0.112
O 0.393 0.899 0.371
O 0.399 0.129 0.607
O 0.601 0.629 0.893
O 0.607 0.399 0.129
O 0.612 0.112 0.388
O 0.623 0.649 0.357
O 0.629 0.893 0.601
O 0.638 0.862 0.138
O 0.643 0.123 0.851
O 0.649 0.357 0.623
O 0.851 0.643 0.123
O 0.857 0.877 0.351
O 0.862 0.138 0.638
O 0.871 0.107 0.101
O 0.877 0.351 0.857
O 0.888 0.888 0.888
O 0.893 0.601 0.629
O 0.899 0.371 0.393

Summary:
SG   P2_13, No. 198
Energy relative to the lowest polymorph listed for this composition   0 meV per atom